# CoAgSe2

A relaxed CoAgSe2 crystal (PBE, the Alexandria database).

Computed properties:
Size of the total moment = 0.00 μB per formula unit
Raw formation energy = 0.120 eV/atom
V = 18.89 A^3/atom

a b c (Å): 2.8904 3.4500 7.6299
angles (deg): 90.00 96.61 90.00
With the nearest neighbours (Å) after each atom.
Sites, in units of the cell vectors:
Co 0.0000 0.0000 0.0000  4 Se 2.34
Ag 0.0000 0.0000 0.5000  4 Se 2.88, 2 Ag 2.89
Se 0.1277 0.5000 0.2063  2 Co 2.34
Se 0.8723 0.5000 0.7937  2 Co 2.34